1.
This record from Alexandria describes crystalline SbRhSe2 at its relaxed geometry. The functional is PBE-GGA.

## Properties
DOS at the Fermi energy, states/eV/cell: 0.99
E, eV/atom: -4.84
Calculated volume, A^3/atom: 24.4
Density, kg/m³: 6505

Lattice parameters (Å, degrees): 8.5910 8.5910 8.5910 24.74 24.74 24.74
Last column: nearest neighbours and their distance in Å.
Sites, in units of the cell vectors:
Sb 0.0000 0.0000 0.0000  2 Se 2.86
Rh 0.5000 0.5000 0.5000  6 Se 2.49
Se 0.1147 0.1147 0.1147  3 Rh 2.49
Se 0.8853 0.8853 0.8853  3 Rh 2.49



2.
This record from Alexandria describes crystalline Sb2RhSe at its relaxed geometry. The functional is PBE-GGA.

## Properties
DOS at the Fermi energy, states/eV/cell: 5.70
E, eV/atom: -4.80
Calculated volume, A^3/atom: 29.8
Density, kg/m³: 5929

Lattice parameters (Å, degrees): 7.5884 7.5884 7.5884 131.75 131.75 70.62
Last column: nearest neighbours and their distance in Å.
Sites, in units of the cell vectors:
Sb 0.0766 0.6250 0.9516  2 Rh 2.52
Sb 0.3750 0.3266 0.4516  2 Rh 2.52
Sb 0.6734 0.1250 0.0484  2 Rh 2.52
Sb 0.8750 0.9234 0.5484  2 Rh 2.52
Rh 0.0000 0.0000 0.0000  4 Sb 2.52
Rh 0.7500 0.2500 0.5000  4 Sb 2.52
Se 0.2500 0.7500 0.5000  4 Sb 2.87
Se 0.5000 0.5000 0.0000  4 Sb 2.87



3.
This record from Alexandria describes crystalline SbRhSe2 at its relaxed geometry. The functional is PBE-GGA.

## Properties
DOS at the Fermi energy, states/eV/cell: 3.67
E, eV/atom: -4.62
Calculated volume, A^3/atom: 20.9
Density, kg/m³: 7613

Lattice parameters (Å, degrees): 4.7703 4.7703 4.7703 108.27 108.27 111.90
Last column: nearest neighbours and their distance in Å.
Sites, in units of the cell vectors:
Sb 0.0000 0.0000 0.0000  2 Rh 2.67, 4 Se 2.79
Rh 0.5000 0.5000 0.0000  2 Sb 2.67, 4 Se 2.79
Se 0.0000 0.5000 0.5000  2 Se 2.67, 2 Sb 2.79, 2 Rh 2.79
Se 0.5000 0.0000 0.5000  2 Se 2.67, 2 Sb 2.79, 2 Rh 2.79



4.
This record from Alexandria describes crystalline Sb2RhSe at its relaxed geometry. The functional is PBE-GGA.

## Properties
DOS at the Fermi energy, states/eV/cell: 2.52
E, eV/atom: -4.50
Calculated volume, A^3/atom: 21.2
Density, kg/m³: 8333

Lattice parameters (Å, degrees): 4.9221 4.9221 4.9221 119.65 119.65 90.61
Last column: nearest neighbours and their distance in Å.
Sites, in units of the cell vectors:
Sb 0.0000 0.0000 0.0000  4 Sb 3.02, 4 Rh 3.02
Sb 0.7500 0.2500 0.5000  4 Se 3.02, 4 Sb 3.02
Rh 0.2500 0.7500 0.5000  4 Se 3.02, 4 Sb 3.02
Se 0.5000 0.5000 0.0000  4 Sb 3.02, 4 Rh 3.02



5.
This record from Alexandria describes crystalline Sb2RhSe at its relaxed geometry. The functional is PBE-GGA.

## Properties
DOS at the Fermi energy, states/eV/cell: 2.20
E, eV/atom: -4.96
Calculated volume, A^3/atom: 22.5
Density, kg/m³: 7856

Lattice parameters (Å, degrees): 3.8074 3.8074 7.4998 104.86 104.86 59.98
Last column: nearest neighbours and their distance in Å.
Sites, in units of the cell vectors:
Sb 0.2397 0.2397 0.2173  3 Rh 2.69, 3 Se 2.98-3.00
Sb 0.7603 0.7603 0.7827  3 Rh 2.69, 3 Se 2.98-3.00
Rh 0.5000 0.5000 0.0000  6 Sb 2.69
Se 0.0000 0.0000 0.5000  6 Sb 2.98-3.00



6.
This record from Alexandria describes crystalline Sb3RhSe at its relaxed geometry. The functional is PBE-GGA.

## Properties
DOS at the Fermi energy, states/eV/cell: 0.10
E, eV/atom: -3.59
Calculated volume, A^3/atom: 29.2
Density, kg/m³: 6226

Lattice parameters (Å, degrees): 5.2648 5.2648 5.2648 90.00 90.00 90.00
Last column: nearest neighbours and their distance in Å.
Sites, in units of the cell vectors:
Sb 0.0000 0.0000 0.5000  2 Se 2.63
Sb 0.0000 0.5000 0.0000  2 Se 2.63
Sb 0.5000 0.0000 0.0000  2 Se 2.63
Rh 0.5000 0.5000 0.5000  12 Sb 3.72
Se 0.0000 0.0000 0.0000  6 Sb 2.63